DFT (PBE) results for a relaxed Ca3AlZn8 crystal.

Cell and atoms, written as POSCAR:
```
Ca3AlZn8
1.0
-4.656 0.903 2.778
-0.149 -0.776 5.440
0.785 8.454 4.005
Ca Zn Al
3 8 1
Direct
0.503 0.503 0.491
0.995 0.995 0.014
0.376 0.376 0.872
0.188 0.188 0.436
0.438 0.935 0.189
0.441 0.939 0.681
0.438 0.438 0.189
0.939 0.939 0.681
0.935 0.438 0.189
0.939 0.441 0.681
0.688 0.688 0.937
0.871 0.871 0.388
```

Calculated values
Space group   R3m (160)
ΔE_f   -0.184 eV per atom